1.
Compound: PaIrRh
Source: Alexandria
Functional: GGA-PBE
Structure: relaxed

Unit cell a=5.057 b=5.057 c=5.057 alpha=138.63 beta=138.63 gamma=59.94
Atoms (fractional coordinates):
Pa  0.000  0.000  0.000
Ir  0.346  0.346  0.000
Rh  0.668  0.668  0.000

As for the magnetization: 0.0 Bohr magnetons per cell. The calculation puts the density of states at the Fermi level at 3.03 states/eV per cell. As for the raw total energy: -9.18 eV/atom. Its theoretical density is 15.623 g cm⁻³.

=====

2.
Compound: PaIrRh
Source: Alexandria
Functional: GGA-PBE
Structure: relaxed

Unit cell a=10.045 b=10.045 c=10.045 alpha=159.84 beta=159.84 gamma=28.66
Atoms (fractional coordinates):
Pa  0.134  0.134  0.000
Pa  0.866  0.866  0.000
Ir  0.290  0.290  0.000
Ir  0.710  0.710  0.000
Rh  0.434  0.434  0.000
Rh  0.566  0.566  0.000

As for the magnetization: 0.0 Bohr magnetons per cell. The calculation puts the density of states at the Fermi level at 3.35 states/eV per cell. As for the raw total energy: -9.08 eV/atom. Its theoretical density is 14.517 g cm⁻³.

=====

Question: What is the magnetization in the first record?
Answer: 0.0 Bohr magnetons per cell

=====

Repeat the second record exactly.
Compound: PaIrRh
Source: Alexandria
Functional: GGA-PBE
Structure: relaxed

Unit cell a=10.045 b=10.045 c=10.045 alpha=159.84 beta=159.84 gamma=28.66
Atoms (fractional coordinates):
Pa  0.134  0.134  0.000
Pa  0.866  0.866  0.000
Ir  0.290  0.290  0.000
Ir  0.710  0.710  0.000
Rh  0.434  0.434  0.000
Rh  0.566  0.566  0.000

As for the magnetization: 0.0 Bohr magnetons per cell. The calculation puts the density of states at the Fermi level at 3.35 states/eV per cell. As for the raw total energy: -9.08 eV/atom. Its theoretical density is 14.517 g cm⁻³.

=====

Please write out number 1 again, unchanged.
Compound: PaIrRh
Source: Alexandria
Functional: GGA-PBE
Structure: relaxed

Unit cell a=5.057 b=5.057 c=5.057 alpha=138.63 beta=138.63 gamma=59.94
Atoms (fractional coordinates):
Pa  0.000  0.000  0.000
Ir  0.346  0.346  0.000
Rh  0.668  0.668  0.000

As for the magnetization: 0.0 Bohr magnetons per cell. The calculation puts the density of states at the Fermi level at 3.03 states/eV per cell. As for the raw total energy: -9.18 eV/atom. Its theoretical density is 15.623 g cm⁻³.